BeAl2Co5B2: relaxed, PBE-GGA.

Lattice parameters (Å, degrees): 2.719 8.395 8.395 90.00 90.00 90.00
Fractional coordinates of all 20 atoms:
Co: 0.500 0.708 0.431
Co: 0.500 0.069 0.792
Co: 0.500 0.208 0.069
Co: 0.500 0.569 0.708
Co: 0.500 0.931 0.208
Co: 0.500 0.500 0.000
Co: 0.500 0.792 0.931
Co: 0.500 0.431 0.292
Co: 0.500 0.292 0.569
Co: 0.500 0.000 0.500
Be: 0.000 0.000 0.000
Be: 0.000 0.500 0.500
B: 0.000 0.128 0.628
B: 0.000 0.872 0.372
B: 0.000 0.628 0.872
B: 0.000 0.372 0.128
Al: 0.000 0.176 0.324
Al: 0.000 0.824 0.676
Al: 0.000 0.676 0.176
Al: 0.000 0.324 0.824

Crystal system = tetragonal
Symmetry = P4/mbm, No. 127
E_form = -0.464 eV per atom